A relaxed CaYCd crystal. Source: the Alexandria database, functional GGA-PBE.

Total moment ... 0.0 μB per formula unit
E_form ... 26.1 meV/atom
Energy relative to the lowest polymorph listed for this composition ... 20.2 kJ per mole of atoms
ρ ... 3.95 g/cm³
Space group ... F-43m, No. 216

Lattice parameters (Å, degrees): 5.236 5.236 5.236 60.00 60.00 60.00
Fractional positions:
Y (0.000, 0.000, 0.000)
Ca (0.500, 0.500, 0.500)
Cd (0.250, 0.250, 0.250)

A relaxed NdSc2Rh crystal. Source: the Alexandria database, functional GGA-PBE.

Total moment ... 0.0 μB per formula unit
E_form ... -352.4 meV/atom
Energy relative to the lowest polymorph listed for this composition ... 12.4 kJ per mole of atoms
ρ ... 5.47 g/cm³
Space group ... R3m, No. 160

Lattice parameters (Å, degrees): 4.383 4.383 6.650 70.76 70.76 60.00
Fractional positions:
Sc (0.284, 0.284, 0.147)
Sc (0.047, 0.047, 0.858)
Rh (0.672, 0.672, 0.985)
Nd (0.497, 0.497, 0.510)

A relaxed CaEr4Pt5 crystal. Source: the Alexandria database, functional GGA-PBE.

Total moment ... 0.0 μB per formula unit
E_form ... -1209.9 meV/atom
ρ ... 13.35 g/cm³
Space group ... P4/mmm, No. 123

Lattice parameters (Å, degrees): 3.452 3.452 17.578 90.00 90.00 90.00
Fractional positions:
Er (0.000, 0.000, 0.799)
Er (0.000, 0.000, 0.401)
Er (0.000, 0.000, 0.201)
Er (0.000, 0.000, 0.599)
Pt (0.500, 0.500, 0.696)
Pt (0.500, 0.500, 0.304)
Pt (0.500, 0.500, 0.112)
Pt (0.500, 0.500, 0.500)
Pt (0.500, 0.500, 0.888)
Ca (0.000, 0.000, 0.000)

What is the formula in the second record? NdSc2Rh

Which value of ρ does entry 3 give? 13.35 g/cm³